An optimized crystal structure of TbGe2RuPt, computed with PBE.

Structure (POSCAR):
```
TbGe2RuPt
1.0
-2.0829 2.0829 5.2187
2.0829 -2.0829 5.2187
2.0829 2.0829 -5.2187
Tb Ge Ru Pt
1 2 1 1
direct
0.0000 0.0000 0.0000
0.3798 0.3798 0.0000
0.6202 0.6202 0.0000
0.7500 0.2500 0.5000
0.2500 0.7500 0.5000
```

Output
* DFT formation energy: -766 meV per atom
* total DFT energy (no corrections): -6.60 eV/atom
* symmetry: I-4m2 (119)
* crystal system: tetragonal